Material: AlGeAu2
Method: DFT, PBE-GGA
State: relaxed

a b c (Å): 7.3845 7.3845 5.9394
angles (deg): 51.56 51.56 90.00
Fractional positions:
1 Ge 0.7500 0.2500 0.5000
2 Ge 0.0000 0.0000 0.0000
3 Au 0.3750 0.3933 0.7500
4 Au 0.6067 0.1250 0.2500
5 Au 0.8750 0.8567 0.7500
6 Au 0.1433 0.6250 0.2500
7 Al 0.5000 0.5000 0.0000
8 Al 0.2500 0.7500 0.5000

Results
- offset from the most stable computed form (meV/atom) = 139
- N(E_F) (states/eV/atom) = 0.421
- symmetry = I-42d (122)
- total energy (eV/atom) = -3.72
- calculated formation energy (meV/atom) = 9

Material: AlGe2Au2
Method: DFT, PBE-GGA
State: relaxed

a b c (Å): 6.9681 6.9681 4.0205
angles (deg): 90.00 90.00 90.00
Fractional positions:
1 Ge 0.8395 0.3395 0.5000
2 Ge 0.3395 0.1605 0.5000
3 Ge 0.6605 0.8395 0.5000
4 Ge 0.1605 0.6605 0.5000
5 Au 0.6491 0.1491 0.0000
6 Au 0.8509 0.6491 0.0000
7 Au 0.3509 0.8509 0.0000
8 Au 0.1491 0.3509 0.0000
9 Al 0.0000 0.0000 0.0000
10 Al 0.5000 0.5000 0.0000

Results
- offset from the most stable computed form (meV/atom) = 0
- N(E_F) (states/eV/atom) = 0.398
- symmetry = P4/mbm (127)
- total energy (eV/atom) = -3.82
- calculated formation energy (meV/atom) = 88

Material: AlGe2Au2
Method: DFT, PBE-GGA
State: relaxed

a b c (Å): 7.2704 7.2704 3.7190
angles (deg): 90.00 90.00 90.00
Fractional positions:
1 Au 0.8592 0.3592 0.5000
2 Au 0.1408 0.6408 0.5000
3 Au 0.6408 0.8592 0.5000
4 Au 0.3592 0.1408 0.5000
5 Al 0.0000 0.0000 0.0000
6 Al 0.5000 0.5000 0.0000
7 Ge 0.8343 0.6657 0.0000
8 Ge 0.3343 0.8343 0.0000
9 Ge 0.1657 0.3343 0.0000
10 Ge 0.6657 0.1657 0.0000

Results
- offset from the most stable computed form (meV/atom) = 98
- N(E_F) (states/eV/atom) = 0.319
- symmetry = P4/mbm (127)
- total energy (eV/atom) = -3.72
- calculated formation energy (meV/atom) = 186

Material: AlGe2Au2
Method: DFT, PBE-GGA
State: relaxed

a b c (Å): 3.8872 3.8872 7.1304
angles (deg): 74.18 74.18 90.00
Fractional positions:
1 Al 0.0000 0.0000 0.0000
2 Au 0.3993 0.3993 0.2014
3 Au 0.6007 0.6007 0.7986
4 Ge 0.2500 0.7500 0.5000
5 Ge 0.7500 0.2500 0.5000

Results
- offset from the most stable computed form (meV/atom) = 64
- N(E_F) (states/eV/atom) = 0.352
- symmetry = I4/mmm (139)
- total energy (eV/atom) = -3.75
- calculated formation energy (meV/atom) = 152